(1)
VASP calculation (PBEsol) on an optimized crystal structure of LiZn2Co.

Lattice parameters (Å, degrees): 4.0656 4.0656 4.0656 60.00 60.00 60.00
Positions (direct):
Li 0.0000 0.0000 0.0000
Zn 0.2500 0.2500 0.2500
Zn 0.5000 0.5000 0.5000
Co 0.7500 0.7500 0.7500

Results
**Calculated volume**: 11.9 Å³/atom
**Space-group type**: No. 216
**M_tot**: 0.0 μB/cell
**Energy of formation**: 2 kJ/mol of atoms


(2)
VASP calculation (PBEsol) on an optimized crystal structure of LiZn2Co.

Lattice parameters (Å, degrees): 2.8186 2.8186 6.2354 90.00 90.00 90.00
Positions (direct):
Li 0.0000 0.0000 0.0000
Zn 0.5000 0.5000 0.2724
Zn 0.5000 0.5000 0.7276
Co 0.0000 0.0000 0.5000

Results
**Calculated volume**: 12.4 Å³/atom
**Space-group type**: No. 123
**M_tot**: 0.0 μB/cell
**Energy of formation**: -9 kJ/mol of atoms


(3)
VASP calculation (PBEsol) on an optimized crystal structure of LiZn2Co.

Lattice parameters (Å, degrees): 2.5396 3.6276 5.3509 90.00 90.00 90.00
Positions (direct):
Li 0.0000 0.0000 0.0000
Zn 0.5000 0.5000 0.2652
Zn 0.5000 0.5000 0.7348
Co 0.0000 0.0000 0.5000

Results
**Calculated volume**: 12.3 Å³/atom
**Space-group type**: No. 47
**M_tot**: 0.8 μB/cell
**Energy of formation**: -7 kJ/mol of atoms


(4)
VASP calculation (PBEsol) on an optimized crystal structure of LiZn2Co.

Lattice parameters (Å, degrees): 4.8157 4.8157 4.3844 111.18 111.18 31.18
Positions (direct):
Li 0.0000 0.0000 0.0000
Zn 0.5013 0.5013 0.5117
Zn 0.7536 0.7536 0.1110
Co 0.2425 0.2425 0.6012

Results
**Calculated volume**: 12.2 Å³/atom
**Space-group type**: No. 8
**M_tot**: 0.9 μB/cell
**Energy of formation**: -4 kJ/mol of atoms


(5)
VASP calculation (PBEsol) on an optimized crystal structure of LiZrCo2.

Lattice parameters (Å, degrees): 5.2430 5.2430 5.2430 103.81 103.81 121.50
Positions (direct):
Li 0.0000 0.0000 0.0000
Li 0.7500 0.2500 0.5000
Zr 0.2500 0.7500 0.5000
Zr 0.5000 0.5000 0.0000
Co 0.1037 0.1250 0.4787
Co 0.3750 0.8963 0.0213
Co 0.6463 0.6250 0.5213
Co 0.8750 0.3537 0.9787

Results
**Calculated volume**: 13.4 Å³/atom
**Space-group type**: No. 122
**M_tot**: 1.7 μB/cell
**Energy of formation**: 33 kJ/mol of atoms


(6)
VASP calculation (PBEsol) on an optimized crystal structure of LiZr2Co.

Lattice parameters (Å, degrees): 4.5074 4.5074 4.5074 60.00 60.00 60.00
Positions (direct):
Li 0.0000 0.0000 0.0000
Zr 0.2500 0.2500 0.2500
Zr 0.7500 0.7500 0.7500
Co 0.5000 0.5000 0.5000

Results
**Calculated volume**: 16.2 Å³/atom
**Space-group type**: No. 225
**M_tot**: 0.4 μB/cell
**Energy of formation**: -2 kJ/mol of atoms


(7)
VASP calculation (PBEsol) on an optimized crystal structure of LiZrCo2.

Lattice parameters (Å, degrees): 2.7494 3.6668 5.2655 90.00 90.00 90.00
Positions (direct):
Li 0.0000 0.0000 0.0000
Zr 0.5000 0.5000 0.3121
Co 0.0000 0.0000 0.5676
Co 0.5000 0.5000 0.7879

Results
**Calculated volume**: 13.3 Å³/atom
**Space-group type**: No. 25
**M_tot**: 1.6 μB/cell
**Energy of formation**: 19 kJ/mol of atoms


(8)
VASP calculation (PBEsol) on an optimized crystal structure of LiZrCo2.

Lattice parameters (Å, degrees): 4.7227 4.7227 4.7227 135.06 135.06 65.44
Positions (direct):
Li 0.0000 0.0000 0.0000
Zr 0.7500 0.2500 0.5000
Co 0.2500 0.7500 0.5000
Co 0.5000 0.5000 0.0000

Results
**Calculated volume**: 12.9 Å³/atom
**Space-group type**: No. 119
**M_tot**: 1.2 μB/cell
**Energy of formation**: 7 kJ/mol of atoms


(9)
VASP calculation (PBEsol) on an optimized crystal structure of LiZr2Co.

Lattice parameters (Å, degrees): 3.2733 3.2369 6.3858 90.00 94.96 90.00
Positions (direct):
Li 0.0000 0.0000 0.0000
Zr 0.4414 0.5000 0.7288
Zr 0.5586 0.5000 0.2712
Co 0.0000 0.0000 0.5000

Results
**Calculated volume**: 16.9 Å³/atom
**Space-group type**: No. 10
**M_tot**: 0.0 μB/cell
**Energy of formation**: 3 kJ/mol of atoms


(10)
VASP calculation (PBEsol) on an optimized crystal structure of Lu4Co3.

Lattice parameters (Å, degrees): 10.8097 10.8097 3.8831 90.00 90.00 120.00
Positions (direct):
Lu 0.0225 0.2454 0.2502
Lu 0.1346 0.6205 0.2510
Lu 0.2230 0.9775 0.2502
Lu 0.2454 0.2230 0.7498
Lu 0.3795 0.5141 0.2510
Lu 0.4859 0.8654 0.2510
Lu 0.5141 0.1346 0.7490
Lu 0.6205 0.4859 0.7490
Lu 0.7546 0.7770 0.2502
Lu 0.7770 0.0225 0.7498
Lu 0.8654 0.3795 0.7490
Lu 0.9775 0.7546 0.7498
Co 0.0000 0.0000 0.5000
Co 0.1541 0.4357 0.7483
Co 0.2816 0.8459 0.7483
Co 0.3333 0.6667 0.7520
Co 0.4357 0.2816 0.2517
Co 0.5643 0.7184 0.7483
Co 0.6667 0.3333 0.2480
Co 0.7184 0.1541 0.2517
Co 0.8459 0.5643 0.2517

Results
**Calculated volume**: 18.7 Å³/atom
**Space-group type**: No. 147
**M_tot**: 0.0 μB/cell
**Energy of formation**: -25 kJ/mol of atoms


(11)
VASP calculation (PBEsol) on an optimized crystal structure of Lu2Co2O7.

Lattice parameters (Å, degrees): 6.7934 6.7934 6.7934 60.00 60.00 60.00
Positions (direct):
Lu 0.0000 0.0000 0.0000
Lu 0.0000 0.0000 0.5000
Lu 0.0000 0.5000 0.0000
Lu 0.5000 0.0000 0.0000
Co 0.0000 0.5000 0.5000
Co 0.5000 0.0000 0.5000
Co 0.5000 0.5000 0.0000
Co 0.5000 0.5000 0.5000
O 0.1250 0.1250 0.1250
O 0.1694 0.1694 0.5806
O 0.1694 0.5806 0.1694
O 0.1694 0.5806 0.5806
O 0.4194 0.4194 0.8306
O 0.4194 0.8306 0.4194
O 0.4194 0.8306 0.8306
O 0.5806 0.1694 0.1694
O 0.5806 0.1694 0.5806
O 0.5806 0.5806 0.1694
O 0.8306 0.4194 0.4194
O 0.8306 0.4194 0.8306
O 0.8306 0.8306 0.4194
O 0.8750 0.8750 0.8750

Results
**Calculated volume**: 10.1 Å³/atom
**Space-group type**: No. 227
**M_tot**: 4.0 μB/cell
**Formation energy without anion corrections**: -2.255 eV per atom


(12)
VASP calculation (PBEsol) on an optimized crystal structure of LuCoO3.

Lattice parameters (Å, degrees): 5.4120 7.1717 4.9594 90.00 90.00 90.00
Positions (direct):
Lu 0.0839 0.2500 0.0272
Lu 0.4161 0.7500 0.5272
Lu 0.5839 0.2500 0.4728
Lu 0.9161 0.7500 0.9728
Co 0.0000 0.0000 0.5000
Co 0.0000 0.5000 0.5000
Co 0.5000 0.0000 0.0000
Co 0.5000 0.5000 0.0000
O 0.0357 0.7500 0.3852
O 0.1941 0.5550 0.8163
O 0.1941 0.9450 0.8163
O 0.3059 0.0550 0.3163
O 0.3059 0.4450 0.3163
O 0.4643 0.2500 0.8852
O 0.5357 0.7500 0.1148
O 0.6941 0.5550 0.6837
O 0.6941 0.9450 0.6837
O 0.8059 0.0550 0.1837
O 0.8059 0.4450 0.1837
O 0.9643 0.2500 0.6148

Results
**Calculated volume**: 9.6 Å³/atom
**Space-group type**: No. 62
**M_tot**: 0.0 μB/cell
**Formation energy without anion corrections**: -2.423 eV per atom


(13)
VASP calculation (PBEsol) on an optimized crystal structure of Lu2CoOs.

Lattice parameters (Å, degrees): 4.5967 4.5967 4.5967 60.00 60.00 60.00
Positions (direct):
Lu 0.2500 0.2500 0.2500
Lu 0.7500 0.7500 0.7500
Co 0.0000 0.0000 0.0000
Os 0.5000 0.5000 0.5000

Results
**Calculated volume**: 17.2 Å³/atom
**Space-group type**: No. 225
**M_tot**: 0.0 μB/cell
**Energy of formation**: -25 kJ/mol of atoms


(14)
VASP calculation (PBEsol) on an optimized crystal structure of LuCo3P2.

Lattice parameters (Å, degrees): 3.5968 10.3183 11.9234 90.00 90.00 90.00
Positions (direct):
Lu 0.2500 0.0680 0.2060
Lu 0.2500 0.2500 0.4764
Lu 0.2500 0.4320 0.2060
Lu 0.7500 0.5680 0.7940
Lu 0.7500 0.7500 0.5236
Lu 0.7500 0.9320 0.7940
Co 0.2500 0.1285 0.7087
Co 0.2500 0.2500 0.0143
Co 0.2500 0.3715 0.7087
Co 0.2500 0.5480 0.4310
Co 0.2500 0.5831 0.9944
Co 0.2500 0.7500 0.1601
Co 0.2500 0.7500 0.7029
Co 0.2500 0.9169 0.9944
Co 0.2500 0.9520 0.4310
Co 0.7500 0.0480 0.5690
Co 0.7500 0.0831 0.0056
Co 0.7500 0.2500 0.2971
Co 0.7500 0.2500 0.8399
Co 0.7500 0.4169 0.0056
Co 0.7500 0.4520 0.5690
Co 0.7500 0.6285 0.2913
Co 0.7500 0.7500 0.9857
Co 0.7500 0.8715 0.2913
P 0.2500 0.0971 0.8915
P 0.2500 0.4029 0.8915
P 0.2500 0.5625 0.6169
P 0.2500 0.7500 0.3468
P 0.2500 0.7500 0.8815
P 0.2500 0.9375 0.6169
P 0.7500 0.0625 0.3831
P 0.7500 0.2500 0.1185
P 0.7500 0.2500 0.6532
P 0.7500 0.4375 0.3831
P 0.7500 0.5971 0.1085
P 0.7500 0.9029 0.1085

Results
**Calculated volume**: 12.3 Å³/atom
**Space-group type**: No. 59
**M_tot**: 3.7 μB/cell
**Energy of formation**: -101 kJ/mol of atoms


(15)
VASP calculation (PBEsol) on an optimized crystal structure of Lu5Co19P12.

Lattice parameters (Å, degrees): 11.7647 11.7647 3.5829 90.00 90.00 120.00
Positions (direct):
Lu 0.0000 0.8139 0.0000
Lu 0.1861 0.1861 0.0000
Lu 0.3333 0.6667 0.5000
Lu 0.6667 0.3333 0.5000
Lu 0.8139 0.0000 0.0000
Co 0.0000 0.0000 0.5000
Co 0.0000 0.2845 0.0000
Co 0.0000 0.4478 0.5000
Co 0.1261 0.6428 0.0000
Co 0.1783 0.3769 0.5000
Co 0.1986 0.8217 0.5000
Co 0.2845 0.0000 0.0000
Co 0.3572 0.4833 0.0000
Co 0.3769 0.1783 0.5000
Co 0.4478 0.0000 0.5000
Co 0.4833 0.3572 0.0000
Co 0.5167 0.8739 0.0000
Co 0.5522 0.5522 0.5000
Co 0.6231 0.8014 0.5000
Co 0.6428 0.1261 0.0000
Co 0.7155 0.7155 0.0000
Co 0.8014 0.6231 0.5000
Co 0.8217 0.1986 0.5000
Co 0.8739 0.5167 0.0000
P 0.0000 0.1797 0.5000
P 0.0000 0.6338 0.5000
P 0.1656 0.4815 0.0000
P 0.1797 0.0000 0.5000
P 0.3159 0.8344 0.0000
P 0.3662 0.3662 0.5000
P 0.4815 0.1656 0.0000
P 0.5185 0.6841 0.0000
P 0.6338 0.0000 0.5000
P 0.6841 0.5185 0.0000
P 0.8203 0.8203 0.5000
P 0.8344 0.3159 0.0000

Results
**Calculated volume**: 11.9 Å³/atom
**Space-group type**: No. 189
**M_tot**: 6.3 μB/cell
**Energy of formation**: -97 kJ/mol of atoms


(16)
VASP calculation (PBEsol) on an optimized crystal structure of Lu2CoRh.

Lattice parameters (Å, degrees): 4.5966 4.5966 4.5966 60.00 60.00 60.00
Positions (direct):
Lu 0.2500 0.2500 0.2500
Lu 0.7500 0.7500 0.7500
Co 0.0000 0.0000 0.0000
Rh 0.5000 0.5000 0.5000

Results
**Calculated volume**: 17.2 Å³/atom
**Space-group type**: No. 225
**M_tot**: 0.0 μB/cell
**Energy of formation**: -59 kJ/mol of atoms


(17)
VASP calculation (PBEsol) on an optimized crystal structure of LuScCo2.

Lattice parameters (Å, degrees): 4.4299 4.4299 4.4299 60.00 60.00 60.00
Positions (direct):
Lu 0.0000 0.0000 0.0000
Sc 0.5000 0.5000 0.5000
Co 0.2500 0.2500 0.2500
Co 0.7500 0.7500 0.7500

Results
**Calculated volume**: 15.4 Å³/atom
**Space-group type**: No. 225
**M_tot**: 0.0 μB/cell
**Energy of formation**: -29 kJ/mol of atoms


(18)
VASP calculation (PBEsol) on an optimized crystal structure of Lu5Co4Si14.

Lattice parameters (Å, degrees): 12.0934 7.6645 7.6142 90.00 98.91 90.00
Positions (direct):
Lu 0.0000 0.0000 0.0000
Lu 0.0000 0.5000 0.5000
Lu 0.3653 0.2485 0.3423
Lu 0.3653 0.2515 0.8423
Lu 0.3655 0.7488 0.3400
Lu 0.3655 0.7512 0.8400
Lu 0.6345 0.2488 0.1600
Lu 0.6345 0.2512 0.6600
Lu 0.6347 0.7485 0.1577
Lu 0.6347 0.7515 0.6577
Co 0.9997 0.1260 0.6266
Co 0.9997 0.3740 0.1266
Co 0.0003 0.6260 0.8734
Co 0.0003 0.8740 0.3734
Co 0.2508 0.9997 0.0614
Co 0.2508 0.5003 0.5614
Co 0.7492 0.0003 0.9386
Co 0.7492 0.4997 0.4386
Si 0.0001 0.1674 0.3329
Si 0.0001 0.3326 0.8329
Si 0.9999 0.6674 0.1671
Si 0.9999 0.8326 0.6671
Si 0.1789 0.0057 0.7703
Si 0.1787 0.2275 0.5503
Si 0.1787 0.2725 0.0503
Si 0.1789 0.4943 0.2703
Si 0.1791 0.5058 0.8174
Si 0.1787 0.7272 0.0383
Si 0.1787 0.7728 0.5383
Si 0.1791 0.9942 0.3174
Si 0.4373 0.0003 0.6101
Si 0.4373 0.4997 0.1101
Si 0.4404 0.0005 0.1104
Si 0.4404 0.4995 0.6104
Si 0.5596 0.9995 0.8896
Si 0.5596 0.5005 0.3896
Si 0.5627 0.9997 0.3899
Si 0.5627 0.5003 0.8899
Si 0.8209 0.0058 0.6826
Si 0.8213 0.2272 0.4617
Si 0.8213 0.2728 0.9617
Si 0.8209 0.4942 0.1826
Si 0.8211 0.5057 0.7297
Si 0.8213 0.7275 0.9497
Si 0.8213 0.7725 0.4497
Si 0.8211 0.9943 0.2297

Results
**Calculated volume**: 15.2 Å³/atom
**Space-group type**: No. 14
**M_tot**: 0.0 μB/cell
**Formation energy without anion corrections**: -0.741 eV per atom


(19)
VASP calculation (PBEsol) on an optimized crystal structure of LuCoSi.

Lattice parameters (Å, degrees): 6.6164 4.0615 6.8197 90.00 90.00 90.00
Positions (direct):
Lu 0.0128 0.2500 0.1916
Lu 0.4872 0.7500 0.6916
Lu 0.5128 0.2500 0.3084
Lu 0.9872 0.7500 0.8084
Co 0.1507 0.7500 0.4350
Co 0.3493 0.2500 0.9350
Co 0.6507 0.7500 0.0650
Co 0.8493 0.2500 0.5650
Si 0.1989 0.2500 0.6055
Si 0.3011 0.7500 0.1055
Si 0.6989 0.2500 0.8945
Si 0.8011 0.7500 0.3945

Results
**Calculated volume**: 15.3 Å³/atom
**Space-group type**: No. 62
**M_tot**: 0.0 μB/cell
**Formation energy without anion corrections**: -0.846 eV per atom


(20)
VASP calculation (PBEsol) on an optimized crystal structure of LuCoSn.

Lattice parameters (Å, degrees): 6.6911 4.3068 7.6109 90.00 90.00 90.00
Positions (direct):
Lu 0.0190 0.2500 0.1885
Lu 0.4810 0.7500 0.6885
Lu 0.5190 0.2500 0.3115
Lu 0.9810 0.7500 0.8115
Co 0.2297 0.7500 0.3974
Co 0.2703 0.2500 0.8974
Co 0.7297 0.7500 0.1026
Co 0.7703 0.2500 0.6026
Sn 0.1704 0.2500 0.5740
Sn 0.3296 0.7500 0.0740
Sn 0.6704 0.2500 0.9260
Sn 0.8296 0.7500 0.4260

Results
**Calculated volume**: 18.3 Å³/atom
**Space-group type**: No. 62
**M_tot**: 0.0 μB/cell
**Energy of formation**: -52 kJ/mol of atoms